# 1
# PdPtS2N (PBE, optimized geometry)
data_PdPtS2N
_space_group_name_H-M_alt 'P 1'
_space_group_IT_number 1
_space_group_name_Hall 'P 1'
_cell_length_a 4.2566
_cell_length_b 4.0266
_cell_length_c 4.2566
_cell_angle_alpha 90.00
_cell_angle_beta 90.00
_cell_angle_gamma 90.00
loop_
_atom_site_label
_atom_site_type_symbol
_atom_site_fract_x
_atom_site_fract_y
_atom_site_fract_z
N1 N 0.0000 0.0000 0.0000
S1 S 0.5000 0.0000 0.0000
S2 S 0.0000 0.0000 0.5000
Pd1 Pd 0.5000 0.5000 0.5000
Pt1 Pt 0.0000 0.5000 0.0000
# Total moment: 0.0 μB per cell
# ΔE to the lowest computed polymorph: 0.78 eV/f.u.
# Formation energy without anion corrections: 1.02 eV per atom

# 2
# TiSn2MoW (PBE, optimized geometry)
data_TiSn2MoW
_space_group_name_H-M_alt 'P 1'
_space_group_IT_number 1
_space_group_name_Hall 'P 1'
_cell_length_a 5.0894
_cell_length_b 4.3561
_cell_length_c 5.0894
_cell_angle_alpha 90.00
_cell_angle_beta 90.00
_cell_angle_gamma 90.00
loop_
_atom_site_label
_atom_site_type_symbol
_atom_site_fract_x
_atom_site_fract_y
_atom_site_fract_z
Sn1 Sn 0.5000 0.0000 0.0000
Sn2 Sn 0.0000 0.0000 0.5000
Mo1 Mo 0.0000 0.5000 0.0000
W1 W 0.5000 0.5000 0.5000
Ti1 Ti 0.0000 0.0000 0.0000
# Final energy: -6.2916 eV/atom
# Total moment: 0.0 μB per cell